VASP calculation (PBE-GGA) on Na2ReC after structural relaxation.

a = 10.3305 Å, b = 10.3305 Å, c = 3.9277 Å
α = 90.00°, β = 90.00°, γ = 90.00°
With the nearest neighbours (Å) after each atom.
Space group I-42d (No. 122)
One atom of each set of equivalent atoms:
Na  0.0522  0.7500  0.1250 x8  2 C 2.68
Re  0.0000  0.0000  0.5000 x4  2 C 1.96
C  0.0000  0.0000  0.0000 x4  2 Re 1.96

Computed properties:
energy relative to the elements = 1.06 eV per atom

---

VASP calculation (PBE-GGA) on NaReW3 after structural relaxation.

a = 4.8356 Å, b = 4.8356 Å, c = 4.8356 Å
α = 90.00°, β = 90.00°, γ = 90.00°
With the nearest neighbours (Å) after each atom.
Space group Pm-3m (No. 221)
One atom of each set of equivalent atoms:
Na  0.0000  0.0000  0.0000 x1  12 W 3.42
Re  0.5000  0.5000  0.5000 x1  6 W 2.42
W  0.0000  0.5000  0.5000 x3  2 Re 2.42

Computed properties:
energy relative to the elements = 1.96 eV per atom
excess energy over the best structure of this formula in the dataset = 0.000 eV/atom

---

VASP calculation (PBE-GGA) on BaAl2CdGe after structural relaxation.

a = 5.0419 Å, b = 5.0419 Å, c = 6.2722 Å
α = 90.00°, β = 90.00°, γ = 90.00°
With the nearest neighbours (Å) after each atom.
Space group P4/mmm (No. 123)
One atom of each set of equivalent atoms:
Ba  0.0000  0.0000  0.0000 x1  2 Cd 3.14
Al  0.0000  0.5000  0.5000 x2  2 Cd 2.52
Cd  0.0000  0.0000  0.5000 x1  4 Al 2.52
Ge  0.5000  0.5000  0.0000 x1  4 Ba 3.57

Computed properties:
energy relative to the elements = 0.53 eV per atom